This record from the Alexandria database describes crystalline CaIrRh2 at its relaxed geometry. The functional is PBEsol.

Computed properties:
The value obtained for the energy above the most stable polymorph in this dataset is 0.0 meV per atom. The volume comes out at 15.52 A^3/atom. The density of states at the Fermi level comes out at 6.7 states/eV/cell. For the raw total energy, the calculation gives -6.974 eV per atom.

CIF file:
```
data_CaIrRh2
_space_group_name_H-M_alt 'I 4/m m m'
_space_group_IT_number 139
_space_group_name_Hall '-I 4 2'
_cell_length_a 4.008
_cell_length_b 4.008
_cell_length_c 7.727
_cell_angle_alpha 90.00
_cell_angle_beta 90.00
_cell_angle_gamma 90.00
loop_
_atom_site_label
_atom_site_type_symbol
_atom_site_fract_x
_atom_site_fract_y
_atom_site_fract_z
Ca1 Ca 0.000 0.000 0.000
Ir1 Ir 0.000 0.000 0.500
Rh1 Rh 0.000 0.500 0.250
```